The following is a PBE-GGA calculation of a relaxed structure of NaAc2PbS4, from the Alexandria database.

Cell lengths 7.227, 4.427, 7.487 Å; angles 90.00, 110.63, 90.00 degrees
Sites, in units of the cell vectors:
Na: 0.000 0.000 0.000
Ac: 0.500 0.000 0.500
Ac: 0.500 0.500 0.000
Pb: 0.000 0.500 0.500
S: 0.252 0.000 0.754
S: 0.256 0.500 0.251
S: 0.744 0.500 0.749
S: 0.748 0.000 0.246

Output
Formation energy without anion corrections   -144.10 kJ/mol of atoms
Total magnetization   0.00 Bohr magnetons per cell
Total DFT energy (no corrections)   -5.21 eV per atom
SG   P2/m, No. 10

The following is a PBE-GGA calculation of a relaxed structure of NaAcSbPb, from the Alexandria database.

Cell lengths 8.014, 8.014, 8.014 Å; angles 90.00, 90.00, 90.00 degrees
Sites, in units of the cell vectors:
Na: 0.000 0.000 0.000
Na: 0.000 0.500 0.500
Na: 0.500 0.000 0.500
Na: 0.500 0.500 0.000
Ac: 0.000 0.000 0.500
Ac: 0.000 0.500 0.000
Ac: 0.500 0.000 0.000
Ac: 0.500 0.500 0.500
Sb: 0.250 0.250 0.750
Sb: 0.250 0.750 0.250
Sb: 0.750 0.250 0.250
Sb: 0.750 0.750 0.750
Pb: 0.250 0.250 0.250
Pb: 0.250 0.750 0.750
Pb: 0.750 0.250 0.750
Pb: 0.750 0.750 0.250

Output
Formation energy without anion corrections   -40.39 kJ/mol of atoms
Total magnetization   0.00 Bohr magnetons per cell
Total DFT energy (no corrections)   -3.73 eV per atom
SG   F-43m, No. 216

The following is a PBE-GGA calculation of a relaxed structure of NaAcScPb, from the Alexandria database.

Cell lengths 7.872, 7.872, 7.872 Å; angles 90.00, 90.00, 90.00 degrees
Sites, in units of the cell vectors:
Na: 0.000 0.000 0.000
Na: 0.000 0.500 0.500
Na: 0.500 0.000 0.500
Na: 0.500 0.500 0.000
Ac: 0.250 0.250 0.250
Ac: 0.250 0.750 0.750
Ac: 0.750 0.250 0.750
Ac: 0.750 0.750 0.250
Sc: 0.250 0.250 0.750
Sc: 0.250 0.750 0.250
Sc: 0.750 0.250 0.250
Sc: 0.750 0.750 0.750
Pb: 0.000 0.000 0.500
Pb: 0.000 0.500 0.000
Pb: 0.500 0.000 0.000
Pb: 0.500 0.500 0.500

Output
Total magnetization   2.33 Bohr magnetons per cell
Energy of formation   -67 meV/atom
Total DFT energy (no corrections)   -3.93 eV per atom
SG   F-43m, No. 216

The following is a PBE-GGA calculation of a relaxed structure of NaAcPb2Se4, from the Alexandria database.

Cell lengths 7.632, 6.217, 7.632 Å; angles 65.96, 48.08, 65.96 degrees
Sites, in units of the cell vectors:
Na: 0.000 0.000 0.000
Ac: 0.500 0.500 0.500
Pb: 0.249 0.249 0.251
Pb: 0.749 0.749 0.751
Se: 0.000 0.500 0.000
Se: 0.251 0.749 0.251
Se: 0.500 0.000 0.500
Se: 0.749 0.251 0.749

Output
Formation energy without anion corrections   -111.57 kJ/mol of atoms
Total magnetization   0.00 Bohr magnetons per cell
Total DFT energy (no corrections)   -4.50 eV per atom
SG   Fmm2, No. 42

The following is a PBE-GGA calculation of a relaxed structure of NaAcSmPb, from the Alexandria database.

Cell lengths 8.074, 8.074, 8.074 Å; angles 90.00, 90.00, 90.00 degrees
Sites, in units of the cell vectors:
Na: 0.000 0.000 0.000
Na: 0.000 0.500 0.500
Na: 0.500 0.000 0.500
Na: 0.500 0.500 0.000
Ac: 0.250 0.250 0.250
Ac: 0.250 0.750 0.750
Ac: 0.750 0.250 0.750
Ac: 0.750 0.750 0.250
Sm: 0.250 0.250 0.750
Sm: 0.250 0.750 0.250
Sm: 0.750 0.250 0.250
Sm: 0.750 0.750 0.750
Pb: 0.000 0.000 0.500
Pb: 0.000 0.500 0.000
Pb: 0.500 0.000 0.000
Pb: 0.500 0.500 0.500

Output
Total magnetization   0.05 Bohr magnetons per cell
Energy of formation   -183 meV/atom
Total DFT energy (no corrections)   -3.65 eV per atom
SG   F-43m, No. 216

The following is a PBE-GGA calculation of a relaxed structure of Na2AcSn2Pb, from the Alexandria database.

Cell lengths 4.783, 9.712, 8.476 Å; angles 90.00, 90.00, 90.00 degrees
Sites, in units of the cell vectors:
Na: 0.000 0.078 0.000
Na: 0.000 0.922 0.500
Na: 0.500 0.176 0.315
Na: 0.500 0.824 0.815
Ac: 0.500 0.434 0.920
Ac: 0.500 0.566 0.420
Sn: 0.000 0.382 0.207
Sn: 0.000 0.618 0.707
Sn: 0.500 0.135 0.709
Sn: 0.500 0.865 0.209
Pb: 0.000 0.307 0.589
Pb: 0.000 0.693 0.089

Output
Total magnetization   0.00 Bohr magnetons per cell
Energy of formation   -324 meV/atom
Total DFT energy (no corrections)   -3.40 eV per atom
SG   Pmc2_1, No. 26

The following is a PBE-GGA calculation of a relaxed structure of NaSrAcPb, from the Alexandria database.

Cell lengths 8.350, 8.350, 8.350 Å; angles 90.00, 90.00, 90.00 degrees
Sites, in units of the cell vectors:
Na: 0.000 0.000 0.000
Na: 0.000 0.500 0.500
Na: 0.500 0.000 0.500
Na: 0.500 0.500 0.000
Sr: 0.250 0.250 0.250
Sr: 0.250 0.750 0.750
Sr: 0.750 0.250 0.750
Sr: 0.750 0.750 0.250
Ac: 0.250 0.250 0.750
Ac: 0.250 0.750 0.250
Ac: 0.750 0.250 0.250
Ac: 0.750 0.750 0.750
Pb: 0.000 0.000 0.500
Pb: 0.000 0.500 0.000
Pb: 0.500 0.000 0.000
Pb: 0.500 0.500 0.500

Output
Total magnetization   0.00 Bohr magnetons per cell
Energy of formation   -264 meV/atom
Total DFT energy (no corrections)   -2.97 eV per atom
SG   F-43m, No. 216

The following is a PBE-GGA calculation of a relaxed structure of NaAc2Te4Pb, from the Alexandria database.

Cell lengths 8.131, 4.741, 8.134 Å; angles 90.00, 109.61, 90.00 degrees
Sites, in units of the cell vectors:
Na: 0.000 0.000 0.000
Ac: 0.000 0.500 0.500
Ac: 0.500 0.000 0.500
Te: 0.248 0.500 0.245
Te: 0.251 0.000 0.758
Te: 0.749 0.000 0.242
Te: 0.752 0.500 0.755
Pb: 0.500 0.500 0.000

Output
Formation energy without anion corrections   -109.09 kJ/mol of atoms
Total magnetization   0.00 Bohr magnetons per cell
Total DFT energy (no corrections)   -4.36 eV per atom
SG   P2/m, No. 10

The following is a PBE-GGA calculation of a relaxed structure of NaAcTe4Pb2, from the Alexandria database.

Cell lengths 8.012, 4.695, 8.156 Å; angles 90.00, 109.02, 90.00 degrees
Sites, in units of the cell vectors:
Na: 0.000 0.000 0.000
Ac: 0.500 0.500 0.000
Te: 0.247 0.000 0.748
Te: 0.251 0.500 0.252
Te: 0.749 0.500 0.748
Te: 0.753 0.000 0.252
Pb: 0.000 0.500 0.500
Pb: 0.500 0.000 0.500

Output
Formation energy without anion corrections   -84.33 kJ/mol of atoms
Total magnetization   0.00 Bohr magnetons per cell
Total DFT energy (no corrections)   -4.05 eV per atom
SG   P2/m, No. 10

The following is a PBE-GGA calculation of a relaxed structure of NaAcTe3Pb, from the Alexandria database.

Cell lengths 9.397, 4.609, 10.505 Å; angles 90.00, 105.99, 90.00 degrees
Sites, in units of the cell vectors:
Na: 0.117 0.250 0.103
Na: 0.883 0.750 0.897
Ac: 0.197 0.250 0.733
Ac: 0.803 0.750 0.267
Te: 0.086 0.250 0.391
Te: 0.236 0.750 0.973
Te: 0.434 0.750 0.665
Te: 0.566 0.250 0.335
Te: 0.764 0.250 0.027
Te: 0.914 0.750 0.609
Pb: 0.324 0.750 0.362
Pb: 0.676 0.250 0.638

Output
Formation energy without anion corrections   -94.33 kJ/mol of atoms
Total magnetization   0.00 Bohr magnetons per cell
Total DFT energy (no corrections)   -4.07 eV per atom
SG   P2_1/m, No. 11

The following is a PBE-GGA calculation of a relaxed structure of Na2AcTl2Pb2, from the Alexandria database.

Cell lengths 9.633, 9.633, 9.633 Å; angles 31.63, 31.63, 31.63 degrees
Sites, in units of the cell vectors:
Na: 0.143 0.143 0.143
Na: 0.857 0.857 0.857
Ac: 0.000 0.000 0.000
Tl: 0.437 0.437 0.437
Tl: 0.563 0.563 0.563
Pb: 0.270 0.270 0.270
Pb: 0.730 0.730 0.730

Output
Total magnetization   0.00 Bohr magnetons per cell
Energy of formation   -209 meV/atom
Total DFT energy (no corrections)   -2.91 eV per atom
SG   R-3m, No. 166

The following is a PBE-GGA calculation of a relaxed structure of Na2Ac3Tl2Pb4, from the Alexandria database.

Cell lengths 5.283, 5.283, 16.223 Å; angles 90.00, 90.00, 120.00 degrees
Sites, in units of the cell vectors:
Na: 0.333 0.667 0.068
Na: 0.667 0.333 0.932
Ac: 0.000 0.000 0.227
Ac: 0.000 0.000 0.500
Ac: 0.000 0.000 0.773
Tl: 0.333 0.667 0.663
Tl: 0.667 0.333 0.337
Pb: 0.333 0.667 0.393
Pb: 0.333 0.667 0.864
Pb: 0.667 0.333 0.136
Pb: 0.667 0.333 0.607

Output
Total magnetization   0.00 Bohr magnetons per cell
Energy of formation   -275 meV/atom
Total DFT energy (no corrections)   -3.41 eV per atom
SG   P-3m1, No. 164